First-principles (GGA-PBE) data for a relaxed Co2OsBr crystal, as listed in the Alexandria database.

Calculated values
Excess energy over the best structure of this formula in the dataset ... 310 meV per atom
V ... 16.09 Å³ per atom
Raw formation energy ... 0.875 eV/atom

Unit cell a=2.7086 b=2.7086 c=9.9619 alpha=90.00 beta=90.00 gamma=118.30
Closest atoms and distances in Å follow each position.
Element x y z (fractional)
Co 0.0000 0.0000 0.0000  2 Co 2.35
Co 0.5000 0.5000 0.1902  2 Co 2.35, 2 Os 2.52
Os 0.0000 0.0000 0.4007  2 Co 2.52, 6 Os 2.71-2.78
Br 0.5000 0.5000 0.7672  2 Co 2.70, 6 Br 2.71-2.78

First-principles (GGA-PBE) data for a relaxed CoOs2Br crystal, as listed in the Alexandria database.

Calculated values
Excess energy over the best structure of this formula in the dataset ... 9 meV per atom
V ... 15.10 Å³ per atom
Raw formation energy ... 0.719 eV/atom

Unit cell a=8.8715 b=8.8715 c=8.8715 alpha=18.34 beta=18.34 gamma=18.34
Closest atoms and distances in Å follow each position.
Element x y z (fractional)
Co 0.0000 0.0000 0.0000  3 Br 2.55, 3 Os 2.63, 6 Co 2.83
Os 0.2543 0.2543 0.2543  9 Os 2.62-2.83, 3 Co 2.63
Os 0.5091 0.5091 0.5091  9 Os 2.62-2.83
Br 0.7414 0.7414 0.7414  3 Co 2.55, 6 Br 2.83

First-principles (GGA-PBE) data for a relaxed CoOsBr2 crystal, as listed in the Alexandria database.

Calculated values
Excess energy over the best structure of this formula in the dataset ... 843 meV per atom
V ... 16.52 Å³ per atom
Raw formation energy ... 1.283 eV/atom

Unit cell a=4.5713 b=4.5713 c=3.1622 alpha=90.00 beta=90.00 gamma=90.00
Closest atoms and distances in Å follow each position.
Element x y z (fractional)
Co 0.0000 0.0000 0.0000  8 Br 2.78
Os 0.5000 0.5000 0.0000  8 Br 2.78
Br 0.0000 0.5000 0.5000  4 Co 2.78, 4 Os 2.78
Br 0.5000 0.0000 0.5000  4 Co 2.78, 4 Os 2.78

Copy entry 3 word for word.
First-principles (GGA-PBE) data for a relaxed CoOsBr2 crystal, as listed in the Alexandria database.

Calculated values
Excess energy over the best structure of this formula in the dataset ... 843 meV per atom
V ... 16.52 Å³ per atom
Raw formation energy ... 1.283 eV/atom

Unit cell a=4.5713 b=4.5713 c=3.1622 alpha=90.00 beta=90.00 gamma=90.00
Closest atoms and distances in Å follow each position.
Element x y z (fractional)
Co 0.0000 0.0000 0.0000  8 Br 2.78
Os 0.5000 0.5000 0.0000  8 Br 2.78
Br 0.0000 0.5000 0.5000  4 Co 2.78, 4 Os 2.78
Br 0.5000 0.0000 0.5000  4 Co 2.78, 4 Os 2.78

Question: The lowest excess energy over the best structure of this formula in the dataset belongs to which entry?
Answer: CoOs2Br